## La2Tm8Cd (PBE)

Data for a geometry-optimized La2Tm8Cd structure.

The value obtained for the formation energy is 0.012 eV per atom. The calculation puts the density of states at the Fermi level at 17.06 states/eV/f.u. As for the size of the total moment: 0.0000 μB/atom. For the calculated volume, the calculation gives 679.7 Å³/cell.

The structure belongs to space group C2/m (No. 12); the cell edges are 18.6460, 5.3661 and 6.8160 Å and the angles 90.00°, 94.71° and 90.00°. The asymmetric unit holds La at (0.2194, 0.0000, 0.1667), Tm at (0.0344, 0.0000, 0.2503), Tm at (0.0887, 0.5000, 0.9206), Tm at (0.1560, 0.5000, 0.4094), Tm at (0.1572, 0.0000, 0.6717) and Cd at (0.0000, 0.5000, 0.5000).



## La2TmCd4 (PBE)

Data for a geometry-optimized La2TmCd4 structure.

The value obtained for the formation energy is -0.175 eV per atom. The calculation puts the density of states at the Fermi level at 5.63 states/eV/f.u. As for the size of the total moment: 0.0534 μB/atom. For the calculated volume, the calculation gives 421.3 Å³/cell.

The structure belongs to space group I4/mmm (No. 139); the cell edges are 5.3924, 5.3924 and 14.4890 Å and the angles 90.00°, 90.00° and 90.00°. The asymmetric unit holds La at (0.0000, 0.0000, 0.2392), Tm at (0.0000, 0.0000, 0.5000) and Cd at (0.0000, 0.5000, 0.1057).



## LaYTmCd (PBE)

Data for a geometry-optimized LaYTmCd structure.

The value obtained for the formation energy is -0.052 eV per atom. The calculation puts the density of states at the Fermi level at 5.42 states/eV/f.u. As for the size of the total moment: 0.0520 μB/atom. For the calculated volume, the calculation gives 480.2 Å³/cell. For the distance to the lowest polymorph of the same formula, the calculation gives 0.090 eV/atom.

The structure belongs to space group F-43m (No. 216); the cell edges are 7.8310, 7.8310 and 7.8310 Å and the angles 90.00°, 90.00° and 90.00°. The asymmetric unit holds La at (0.0000, 0.0000, 0.0000), Y at (0.0000, 0.0000, 0.5000), Tm at (0.2500, 0.2500, 0.2500) and Cd at (0.2500, 0.2500, 0.7500).



## LaYTmCd (PBE)

Data for a geometry-optimized LaYTmCd structure.

The value obtained for the formation energy is -0.142 eV per atom. The calculation puts the density of states at the Fermi level at 6.25 states/eV/f.u. As for the size of the total moment: 0.0001 μB/atom. For the calculated volume, the calculation gives 120.6 Å³/cell. For the distance to the lowest polymorph of the same formula, the calculation gives 0.000 eV/atom.

The structure belongs to space group P4mm (No. 99); the cell edges are 3.6682, 3.6682 and 8.9664 Å and the angles 90.00°, 90.00° and 90.00°. The asymmetric unit holds La at (0.0000, 0.0000, 0.0000), Y at (0.5000, 0.5000, 0.7094), Tm at (0.5000, 0.5000, 0.2813) and Cd at (0.0000, 0.0000, 0.4897).



## LaTmZnCd (PBE)

Data for a geometry-optimized LaTmZnCd structure.

The value obtained for the formation energy is -0.285 eV per atom. The calculation puts the density of states at the Fermi level at 5.08 states/eV/f.u. As for the size of the total moment: 0.0001 μB/atom. For the calculated volume, the calculation gives 420.9 Å³/cell. For the distance to the lowest polymorph of the same formula, the calculation gives 0.039 eV/atom.

The structure belongs to space group F-43m (No. 216); the cell edges are 7.4943, 7.4943 and 7.4943 Å and the angles 90.00°, 90.00° and 90.00°. The asymmetric unit holds La at (0.0000, 0.0000, 0.0000), Tm at (0.0000, 0.0000, 0.5000), Zn at (0.2500, 0.2500, 0.7500) and Cd at (0.2500, 0.2500, 0.2500).



## LaTmZnCd (PBE)

Data for a geometry-optimized LaTmZnCd structure.

The value obtained for the formation energy is -0.324 eV per atom. The calculation puts the density of states at the Fermi level at 4.12 states/eV/f.u. As for the size of the total moment: 0.0001 μB/atom. For the calculated volume, the calculation gives 103.2 Å³/cell. For the distance to the lowest polymorph of the same formula, the calculation gives 0.000 eV/atom.

The structure belongs to space group P4mm (No. 99); the cell edges are 3.6373, 3.6373 and 7.8029 Å and the angles 90.00°, 90.00° and 90.00°. The asymmetric unit holds La at (0.0000, 0.0000, 0.0000), Tm at (0.0000, 0.0000, 0.4609), Zn at (0.5000, 0.5000, 0.2601) and Cd at (0.5000, 0.5000, 0.7040).



## LaVCd2 (PBE)

Data for a geometry-optimized LaVCd2 structure.

The value obtained for the formation energy is 0.127 eV per atom. The calculation puts the density of states at the Fermi level at 5.25 states/eV/f.u. As for the size of the total moment: 0.9124 μB/atom. For the calculated volume, the calculation gives 395.4 Å³/cell. For the distance to the lowest polymorph of the same formula, the calculation gives 0.000 eV/atom.

The structure belongs to space group Fm-3m (No. 225); the cell edges are 7.3397, 7.3397 and 7.3397 Å and the angles 90.00°, 90.00° and 90.00°. The asymmetric unit holds La at (0.0000, 0.0000, 0.0000), V at (0.0000, 0.0000, 0.5000) and Cd at (0.2500, 0.2500, 0.2500).



## LaVCd3 (PBE)

Data for a geometry-optimized LaVCd3 structure.

The value obtained for the formation energy is 0.291 eV per atom. The calculation puts the density of states at the Fermi level at 3.31 states/eV/f.u. As for the size of the total moment: 0.4841 μB/atom. For the calculated volume, the calculation gives 138.7 Å³/cell. For the distance to the lowest polymorph of the same formula, the calculation gives 0.000 eV/atom.

The structure belongs to space group Pm-3m (No. 221); the cell edges are 5.1769, 5.1769 and 5.1769 Å and the angles 90.00°, 90.00° and 90.00°. The asymmetric unit holds La at (0.0000, 0.0000, 0.0000), V at (0.5000, 0.5000, 0.5000) and Cd at (0.0000, 0.5000, 0.5000).